# 1
Hf2InHg: relaxed, PBE-GGA.

Properties
The symmetry is R3m. The value obtained for the total magnetization is 0.00 μB/f.u.

Cell lengths 4.638, 4.638, 5.991 Å; angles 67.23, 67.23, 60.00 degrees
Sites, in units of the cell vectors:
Hg 0.673 0.673 0.980
Hf 0.071 0.071 0.786
Hf 0.266 0.266 0.203
In 0.490 0.490 0.531

---

# 2
Hf4In3Hg: relaxed, PBE-GGA.

Properties
The symmetry is P4/mmm. The value obtained for the total magnetization is 0.00 μB/f.u.

Cell lengths 3.781, 3.781, 12.176 Å; angles 90.00, 90.00, 90.00 degrees
Sites, in units of the cell vectors:
Hf 0.000 0.000 0.375
In 0.500 0.500 0.750
Hf 0.000 0.000 0.625
Hg 0.500 0.500 0.000
Hf 0.000 0.000 0.876
In 0.500 0.500 0.250
Hf 0.000 0.000 0.124
In 0.500 0.500 0.500

---

# 3
Hf2InHg: relaxed, PBE-GGA.

Properties
The symmetry is I-42d. The value obtained for the total magnetization is 0.00 μB/f.u.

Cell lengths 7.889, 7.889, 6.337 Å; angles 51.50, 51.50, 90.00 degrees
Sites, in units of the cell vectors:
Hg 0.000 0.000 0.000
In 0.500 0.500 0.000
Hf 0.114 0.625 0.250
In 0.250 0.750 0.500
Hg 0.750 0.250 0.500
Hf 0.875 0.886 0.750
Hf 0.636 0.125 0.250
Hf 0.375 0.364 0.750

---

# 4
Hf8In2Hg3: relaxed, PBE-GGA.

Properties
The symmetry is C2/m. The value obtained for the total magnetization is 0.00 μB/f.u.

Cell lengths 6.164, 7.674, 8.597 Å; angles 116.51, 107.34, 90.00 degrees
Sites, in units of the cell vectors:
Hf 0.969 0.103 0.206
In 0.281 0.291 0.583
Hf 0.822 0.306 0.612
In 0.719 0.709 0.417
Hg 0.000 0.317 0.000
Hf 0.556 0.659 0.704
Hf 0.556 0.045 0.704
Hg 0.500 0.000 0.000
Hg 0.000 0.683 0.000
Hf 0.178 0.694 0.388
Hf 0.444 0.955 0.296
Hf 0.031 0.897 0.794
Hf 0.444 0.341 0.296

---

# 5
Hf3InHg: relaxed, PBE-GGA.

Properties
The symmetry is Pm-3m. The value obtained for the total magnetization is 0.00 μB/f.u.

Cell lengths 5.192, 5.192, 5.192 Å; angles 90.00, 90.00, 90.00 degrees
Sites, in units of the cell vectors:
Hf 0.500 0.000 0.000
Hf 0.000 0.000 0.500
Hg 0.000 0.000 0.000
In 0.500 0.500 0.500
Hf 0.000 0.500 0.000

---

# 6
HfMgInHg: relaxed, PBE-GGA.

Properties
The symmetry is Pmmm. The value obtained for the total magnetization is 0.00 μB/f.u.

Cell lengths 4.236, 4.543, 4.392 Å; angles 90.00, 90.00, 90.00 degrees
Sites, in units of the cell vectors:
Hg 0.000 0.500 0.500
In 0.000 0.000 0.000
Hf 0.500 0.000 0.500
Mg 0.500 0.500 0.000

---

Uncorrected energy in eV per atom, matching the order above: -5.424 -6.055 -5.469 -6.206 -5.657 -3.776
Formation energy from the elements in eV/atom, matching the order above: 0.313 -0.013 0.268 0.410 0.923 -0.129